## CrIrIO2 (PBE+U)

Data for a geometry-optimized CrIrIO2 structure.

energy relative to the lowest polymorph listed for this composition: 0.000 eV/atom
magnetic moment: 5.16 μB/f.u.
VASP energy: -28.9 eV per formula unit

Unit cell a=3.8217 b=3.8217 c=8.0013 alpha=90.00 beta=90.00 gamma=90.00
Last column: magnetic moment on the atom in μB.
Element x y z (fractional)
Cr: 0.5000 0.5000 0.5000  4.37
Ir: 0.0000 0.0000 0.0000  0.25
I: 0.0000 0.0000 0.5000  -0.04
O: 0.0000 0.5000 0.0000  0.07
O: 0.5000 0.0000 0.0000  0.07